TePt2: optimized geometry, PBE.

Lattice parameters (Å, degrees): 6.0103 6.0103 5.4033 90.00 90.00 143.86
Fractional coordinates of all 6 atoms:
Te1 0.1849 0.8151 0.5000
Te2 0.8151 0.1849 0.0000
Pt1 0.1365 0.8635 0.9931
Pt2 0.4766 0.5234 0.8365
Pt3 0.5234 0.4766 0.3365
Pt4 0.8635 0.1365 0.4931

## Properties
V	19.2	Å³ per atom
total magnetization	0.000	μB/atom
energy above the lowest structure with this stoichiometry	40	meV/atom
formation energy from raw total energies	-0.14	eV per atom

---

Te2Pt: optimized geometry, PBE.

Lattice parameters (Å, degrees): 5.7046 7.8560 7.0893 90.00 90.00 90.00
Fractional coordinates of all 12 atoms:
Te1 0.2350 0.0993 0.0680
Te2 0.2350 0.9007 0.5680
Te3 0.2650 0.4007 0.5680
Te4 0.2650 0.5993 0.0680
Te5 0.7350 0.4007 0.9320
Te6 0.7350 0.5993 0.4320
Te7 0.7650 0.0993 0.4320
Te8 0.7650 0.9007 0.9320
Pt1 0.0000 0.3554 0.2500
Pt2 0.0000 0.6446 0.7500
Pt3 0.5000 0.1446 0.7500
Pt4 0.5000 0.8554 0.2500

## Properties
V	26.5	Å³ per atom
total magnetization	0.000	μB/atom
formation energy from raw total energies	-0.25	eV per atom

---

Te3Pt5: optimized geometry, PBE.

Lattice parameters (Å, degrees): 5.7938 5.7938 4.5617 90.00 90.00 98.86
Fractional coordinates of all 8 atoms:
Te1 0.0000 0.0000 0.0000
Te2 0.2993 0.7007 0.5000
Te3 0.7007 0.2993 0.5000
Pt1 0.0000 0.5000 0.0000
Pt2 0.2158 0.2158 0.5000
Pt3 0.5000 0.0000 0.0000
Pt4 0.5000 0.5000 0.0000
Pt5 0.7842 0.7842 0.5000

## Properties
V	18.9	Å³ per atom
total magnetization	0.000	μB/atom
formation energy from raw total energies	0.06	eV per atom